Entry 1:
The following is a DFT calculation (GGA-PBE) of a relaxed RbBeMo2Ir crystal.

Fermi-level density of states: 5.90 states/eV/cell
DFT formation energy: 3.549 eV per atom
Total energy: -3.49 eV/atom

a = 4.6962 Å, b = 4.7729 Å, c = 4.6962 Å
α = 90.00°, β = 90.00°, γ = 90.00°
Site moments in Bohr magnetons follow the coordinates.
Atoms (fractional coordinates):
Be 0.5000 0.5000 0.5000  -0.03
Rb 0.0000 0.0000 0.0000  0.03
Mo 0.5000 0.0000 0.0000  1.05
Mo 0.0000 0.0000 0.5000  0.75
Ir 0.0000 0.5000 0.0000  0.19

=====

Entry 2:
The following is a DFT calculation (GGA-PBE) of a relaxed BeReMoIr2 crystal.

Fermi-level density of states: 4.32 states/eV/cell
DFT formation energy: 1.873 eV per atom
Total energy: -7.07 eV/atom

a = 4.6751 Å, b = 4.1495 Å, c = 4.6751 Å
α = 90.00°, β = 90.00°, γ = 90.00°
Site moments in Bohr magnetons follow the coordinates.
Atoms (fractional coordinates):
Re 0.5000 0.5000 0.5000  2.40
Mo 0.0000 0.0000 0.0000  -0.10
Ir 0.0000 0.0000 0.5000  0.02
Ir 0.5000 0.0000 0.0000  0.11
Be 0.0000 0.5000 0.0000  -0.01